This record from the Alexandria database describes a relaxed structure of Mg2NpCo9. The functional is PBE.

a = 4.8414 Å, b = 4.8414 Å, c = 23.6409 Å
α = 90.00°, β = 90.00°, γ = 120.00°
Space group R-3m (No. 166, hexagonal axes)
Symmetry-distinct sites (fractional):
Mg1 0.0000 0.0000 0.1439 [6 per cell]
Np1 0.0000 0.0000 0.0000 [3 per cell]
Co1 0.0000 0.0000 0.3355 [6 per cell]
Co2 0.0000 0.0000 0.5000 [3 per cell]
Co3 0.0062 0.5031 0.9156 [18 per cell]

Calculated values
V: 479.9 Å³ per cell
ΔH_f (0 K): -38 kJ/mol of formula units
E_tot: -6.71 eV per atom

***

This record from the Alexandria database describes a relaxed structure of BaYGe2. The functional is PBE.

a = 4.7530 Å, b = 4.7530 Å, c = 19.1205 Å
α = 90.00°, β = 90.00°, γ = 120.00°
Space group R-3m (No. 166, hexagonal axes)
Symmetry-distinct sites (fractional):
Ba1 0.0000 0.0000 0.0000 [3 per cell]
Y1 0.0000 0.0000 0.5000 [3 per cell]
Ge1 0.0000 0.0000 0.2228 [6 per cell]

Calculated values
V: 374.1 Å³ per cell
ΔH_f (0 K): -170 kJ/mol of formula units
E_tot: -4.84 eV per atom
E above lowest polymorph: 0 meV per atom

***

This record from the Alexandria database describes a relaxed structure of HfNpO5. The functional is PBE.

a = 3.886 Å, b = 6.641 Å, c = 8.106 Å
α = 90.00°, β = 90.00°, γ = 90.00°
Space group Immm (No. 71)
Symmetry-distinct sites (fractional):
Hf1 0.000 0.000 0.000 [2 per cell]
Np1 0.000 0.000 0.500 [2 per cell]
O1 0.000 0.000 0.270 [4 per cell]
O2 0.000 0.313 0.000 [4 per cell]
O3 0.000 0.500 0.500 [2 per cell]

Calculated values
raw formation energy: -20.723 eV per formula unit
V: 209.2 Å³ per cell
E_tot: -9.77 eV per atom

***

This record from the Alexandria database describes a relaxed structure of RbZrTe2H. The functional is PBE.

a = 7.790 Å, b = 4.145 Å, c = 10.054 Å
α = 90.00°, β = 107.77°, γ = 90.00°
Space group P2_1/m (No. 11)
Symmetry-distinct sites (fractional):
Rb1 0.153 0.250 0.301 [2 per cell]
Zr1 0.347 0.250 0.831 [2 per cell]
Te1 0.267 0.750 0.015 [2 per cell]
Te2 0.331 0.750 0.630 [2 per cell]
H1 0.088 0.250 0.780 [2 per cell]

Calculated values
V: 309.1 Å³ per cell
E_tot: -4.60 eV per atom

***

This record from the Alexandria database describes a relaxed structure of Zr3InTe6. The functional is PBE.

a = 12.613 Å, b = 3.977 Å, c = 12.889 Å
α = 90.00°, β = 107.59°, γ = 90.00°
Space group P2_1/m (No. 11)
Symmetry-distinct sites (fractional):
Zr1 0.017 0.250 0.136 [2 per cell]
Zr2 0.206 0.250 0.775 [2 per cell]
Zr3 0.354 0.750 0.460 [2 per cell]
In1 0.391 0.750 0.115 [2 per cell]
Te1 0.045 0.750 0.665 [2 per cell]
Te2 0.151 0.250 0.981 [2 per cell]
Te3 0.177 0.750 0.251 [2 per cell]
Te4 0.254 0.250 0.561 [2 per cell]
Te5 0.379 0.750 0.861 [2 per cell]
Te6 0.452 0.250 0.350 [2 per cell]

Calculated values
raw formation energy: -7.328 eV per formula unit
V: 616.4 Å³ per cell
E_tot: -5.46 eV per atom

***

This record from the Alexandria database describes a relaxed structure of Tm3Tl4SbTe8. The functional is PBE.

a = 8.8744 Å, b = 8.8744 Å, c = 24.4010 Å
α = 90.00°, β = 90.00°, γ = 120.00°
Space group R-3m (No. 166, hexagonal axes)
Symmetry-distinct sites (fractional):
Tm1 0.0000 0.5000 0.0000 [9 per cell]
Tl1 0.0000 0.0000 0.5000 [3 per cell]
Tl2 0.0000 0.5000 0.5000 [9 per cell]
Sb1 0.0000 0.0000 0.0000 [3 per cell]
Te1 0.0000 0.0000 0.2632 [6 per cell]
Te2 0.0026 0.5013 0.2632 [18 per cell]

Calculated values
raw formation energy: -13.204 eV per formula unit
V: 1664.3 Å³ per cell
E_tot: -4.08 eV per atom